Entry 1:
KYPb: relaxed, PBE-GGA.

Structure (CIF):
```
data_KYPb
_symmetry_space_group_name_H-M 'P 1'
_symmetry_Int_Tables_number 1
_symmetry_space_group_name_Hall 'P 1'
_cell_length_a 3.888
_cell_length_b 4.807
_cell_length_c 13.929
_cell_angle_alpha 90.07
_cell_angle_beta 90.34
_cell_angle_gamma 90.00
loop_
_atom_site_label
_atom_site_fract_x
_atom_site_fract_y
_atom_site_fract_z
_atom_site_occupancy
K1 0.000 0.000 0.000 1
K2 0.483 0.501 0.275 1
Y1 0.489 0.977 0.549 1
Y2 0.994 0.478 0.726 1
Pb1 0.495 0.978 0.782 1
Pb2 0.988 0.477 0.493 1
```

Results
size of the total moment: 0.00 μB per cell
distance to the lowest polymorph of the same formula: 0.026 eV/atom
Fermi-level density of states: 0.646 states/eV/atom
uncorrected energy: -4.020 eV per atom

***

Entry 2:
V2FeIrC: relaxed, PBE-GGA.

Structure (CIF):
```
data_V2FeIrC
_symmetry_space_group_name_H-M 'P 4/m m m'
_symmetry_Int_Tables_number 123
_symmetry_space_group_name_Hall '-P 4 2'
_cell_length_a 3.950
_cell_length_b 3.950
_cell_length_c 3.727
_cell_angle_alpha 90.00
_cell_angle_beta 90.00
_cell_angle_gamma 90.00
loop_
_atom_site_label
_atom_site_fract_x
_atom_site_fract_y
_atom_site_fract_z
_atom_site_occupancy
V1 0.000 0.500 0.000 1
Fe1 0.000 0.000 0.500 1
Ir1 0.500 0.500 0.500 1
C1 0.000 0.000 0.000 1
```

Results
size of the total moment: 0.00 μB per cell
Fermi-level density of states: 0.853 states/eV/atom
uncorrected energy: -9.220 eV per atom

***

Entry 3:
PrSmLuTh: relaxed, PBE-GGA.

Structure (CIF):
```
data_PrSmLuTh
_symmetry_space_group_name_H-M 'F -4 3 m'
_symmetry_Int_Tables_number 216
_symmetry_space_group_name_Hall 'F -4 2 3'
_cell_length_a 8.082
_cell_length_b 8.082
_cell_length_c 8.082
_cell_angle_alpha 90.00
_cell_angle_beta 90.00
_cell_angle_gamma 90.00
loop_
_atom_site_label
_atom_site_fract_x
_atom_site_fract_y
_atom_site_fract_z
_atom_site_occupancy
Pr1 0.000 0.000 0.000 1
Sm1 0.250 0.250 0.250 1
Lu1 0.250 0.250 0.750 1
Th1 0.000 0.000 0.500 1
```

Results
size of the total moment: 0.00 μB per cell
Fermi-level density of states: 1.913 states/eV/atom
uncorrected energy: -5.212 eV per atom

***

> Among the records above, which one has the highest uncorrected energy?

KYPb